Run 1
## BeCu2Br (PBE-GGA)

Data for an optimized crystal structure of BeCu2Br.

Structure (POSCAR):
```
BeCu2Br
1.0
3.426 0.000 0.000
0.000 3.426 0.000
0.000 0.000 11.507
Be Cu Br
2 4 2
Direct
0.000 0.000 0.000
0.500 0.500 0.500
0.000 0.000 0.500
0.000 0.500 0.250
0.500 0.000 0.750
0.500 0.500 0.000
0.000 0.500 0.750
0.500 0.000 0.250
```

Output
M_tot (μB per formula unit): 0.00
ρ (g cm⁻³): 5.31

Run 2
## BeCu2Br (PBE-GGA)

Data for an optimized crystal structure of BeCu2Br.

Structure (POSCAR):
```
BeCu2Br
1.0
6.536 0.000 0.000
0.000 3.805 0.000
-2.449 0.000 5.662
Be Cu Br
2 4 2
Direct
0.000 0.000 0.000
0.500 0.500 0.000
0.222 0.500 0.145
0.307 0.000 0.929
0.722 0.000 0.145
0.807 0.500 0.929
0.360 0.500 0.597
0.860 0.000 0.597
```

Output
M_tot (μB per formula unit): 0.00
ρ (g cm⁻³): 5.09

It is run 2 that is the most stable of them.

Run 1
## BeCu2Br (PBE-GGA)

Data for an optimized crystal structure of BeCu2Br.

Structure (POSCAR):
```
BeCu2Br
1.0
5.035 0.000 0.000
0.000 7.500 0.000
0.000 0.000 3.122
Be Cu Br
2 4 2
Direct
0.000 0.000 0.000
0.500 0.500 0.000
0.250 0.250 0.500
0.250 0.750 0.500
0.750 0.250 0.500
0.750 0.750 0.500
0.000 0.500 0.000
0.500 0.000 0.000
```

Output
M_tot (μB per formula unit): 0.00
ρ (g cm⁻³): 6.08

Run 2
## BeCu2Br (PBE-GGA)

Data for an optimized crystal structure of BeCu2Br.

Structure (POSCAR):
```
BeCu2Br
1.0
2.731 0.000 0.000
0.000 2.731 0.000
0.000 0.000 9.093
Be Cu Br
1 2 1
Direct
0.000 0.000 0.000
0.500 0.500 0.144
0.500 0.500 0.856
0.000 0.000 0.500
```

Output
M_tot (μB per formula unit): 0.00
ρ (g cm⁻³): 5.29

It is run 2 that is the most stable of them.

Run 1
## BeCu2Br (PBE-GGA)

Data for an optimized crystal structure of BeCu2Br.

Structure (POSCAR):
```
BeCu2Br
1.0
4.371 0.000 0.000
0.000 3.164 0.000
-1.616 0.000 4.214
Be Cu Br
1 2 1
Direct
0.000 0.000 0.000
0.000 0.500 0.500
0.500 0.000 0.500
0.500 0.500 0.000
```

Output
M_tot (μB per formula unit): 0.00
ρ (g cm⁻³): 6.16

Run 2
## BeCu2Br (PBE-GGA)

Data for an optimized crystal structure of BeCu2Br.

Structure (POSCAR):
```
BeCu2Br
1.0
6.269 0.000 0.000
0.000 6.269 0.000
0.000 0.000 6.269
Be Cu Br
4 8 4
Direct
0.000 0.000 0.000
0.000 0.500 0.500
0.500 0.000 0.500
0.500 0.500 0.000
0.250 0.250 0.250
0.250 0.250 0.750
0.250 0.750 0.250
0.250 0.750 0.750
0.750 0.250 0.250
0.750 0.250 0.750
0.750 0.750 0.250
0.750 0.750 0.750
0.000 0.000 0.500
0.000 0.500 0.000
0.500 0.000 0.000
0.500 0.500 0.500
```

Output
M_tot (μB per formula unit): 0.00
ρ (g cm⁻³): 5.82

It is run 1 that is the most stable of them.

Run 1
## BeCu2Br (PBE-GGA)

Data for an optimized crystal structure of BeCu2Br.

Structure (POSCAR):
```
BeCu2Br
1.0
3.627 0.000 0.000
-1.813 3.141 0.000
0.000 0.000 16.609
Be Cu Br
3 6 3
Direct
0.000 0.000 0.000
0.333 0.667 0.667
0.667 0.333 0.333
0.000 0.000 0.284
0.000 0.000 0.716
0.333 0.667 0.382
0.333 0.667 0.951
0.667 0.333 0.049
0.667 0.333 0.618
0.000 0.000 0.500
0.333 0.667 0.167
0.667 0.333 0.833
```

Output
M_tot (μB per formula unit): 0.00
ρ (g cm⁻³): 5.69

Run 2
## BeCu2Br (PBE-GGA)

Data for an optimized crystal structure of BeCu2Br.

Structure (POSCAR):
```
BeCu2Br
1.0
3.246 0.000 0.000
0.000 3.349 0.000
0.000 0.000 11.460
Be Cu Br
2 4 2
Direct
0.000 0.000 0.000
0.500 0.500 0.500
0.000 0.000 0.515
0.000 0.500 0.356
0.500 0.000 0.856
0.500 0.500 0.015
0.000 0.500 0.718
0.500 0.000 0.218
```

Output
M_tot (μB per formula unit): 0.00
ρ (g cm⁻³): 5.76

It is run 1 that is the most stable of them.

Run 1
## BeCuBr2 (PBE-GGA)

Data for an optimized crystal structure of BeCuBr2.

Structure (POSCAR):
```
BeCuBr2
1.0
3.370 0.000 0.000
0.000 4.830 0.000
0.000 0.000 14.151
Be Cu Br
2 2 4
Direct
0.000 0.000 0.000
0.500 0.500 0.500
0.000 0.500 0.386
0.500 0.000 0.886
0.000 0.000 0.391
0.000 0.500 0.602
0.500 0.000 0.102
0.500 0.500 0.891
```

Output
M_tot (μB per formula unit): 0.00
ρ (g cm⁻³): 3.35

Run 2
## BeCuBr2 (PBE-GGA)

Data for an optimized crystal structure of BeCuBr2.

Structure (POSCAR):
```
BeCuBr2
1.0
7.079 0.000 0.000
0.000 7.099 0.000
-0.762 0.000 3.699
Be Cu Br
2 2 4
Direct
0.000 0.000 0.000
0.500 0.500 0.000
0.000 0.500 0.000
0.500 0.000 0.000
0.250 0.250 0.000
0.250 0.750 0.000
0.750 0.250 0.000
0.750 0.750 0.000
```

Output
M_tot (μB per formula unit): 0.00
ρ (g cm⁻³): 4.15

It is run 1 that is the most stable of them.

Run 1
## BeCuBr2 (PBE-GGA)

Data for an optimized crystal structure of BeCuBr2.

Structure (POSCAR):
```
BeCuBr2
1.0
6.858 0.000 0.000
0.000 6.858 0.000
0.000 0.000 6.858
Be Cu Br
4 4 8
Direct
0.000 0.000 0.000
0.000 0.500 0.500
0.500 0.000 0.500
0.500 0.500 0.000
0.250 0.250 0.750
0.250 0.750 0.250
0.750 0.250 0.250
0.750 0.750 0.750
0.000 0.000 0.500
0.000 0.500 0.000
0.250 0.250 0.250
0.250 0.750 0.750
0.500 0.000 0.000
0.500 0.500 0.500
0.750 0.250 0.750
0.750 0.750 0.250
```

Output
M_tot (μB per formula unit): 0.00
ρ (g cm⁻³): 4.78

Run 2
## BeCuBr2 (PBE-GGA)

Data for an optimized crystal structure of BeCuBr2.

Structure (POSCAR):
```
BeCuBr2
1.0
3.580 0.000 0.000
0.000 3.580 0.000
0.000 0.000 14.896
Be Cu Br
2 2 4
Direct
0.000 0.000 0.000
0.500 0.500 0.500
0.000 0.500 0.250
0.500 0.000 0.750
0.000 0.000 0.500
0.000 0.500 0.750
0.500 0.000 0.250
0.500 0.500 0.000
```

Output
M_tot (μB per formula unit): 0.00
ρ (g cm⁻³): 4.04

It is run 2 that is the most stable of them.

Run 1
## BeCuBr2 (PBE-GGA)

Data for an optimized crystal structure of BeCuBr2.

Structure (POSCAR):
```
BeCuBr2
1.0
6.355 0.000 0.000
0.000 6.355 0.000
0.000 0.000 9.433
Be Cu Br
4 4 8
Direct
0.000 0.000 0.000
0.000 0.500 0.250
0.500 0.000 0.750
0.500 0.500 0.500
0.000 0.000 0.500
0.000 0.500 0.750
0.500 0.000 0.250
0.500 0.500 0.000
0.163 0.250 0.125
0.250 0.663 0.375
0.250 0.837 0.875
0.337 0.250 0.625
0.663 0.750 0.625
0.750 0.163 0.875
0.750 0.337 0.375
0.837 0.750 0.125
```

Output
M_tot (μB per formula unit): 0.00
ρ (g cm⁻³): 4.05

Run 2
## BeCuBr2 (PBE-GGA)

Data for an optimized crystal structure of BeCuBr2.

Structure (POSCAR):
```
BeCuBr2
1.0
5.813 0.000 0.000
0.000 3.356 0.000
-2.076 0.000 10.270
Be Cu Br
2 2 4
Direct
0.000 0.000 0.000
0.500 0.500 0.000
0.000 0.500 0.500
0.500 0.000 0.500
0.215 0.500 0.136
0.285 0.000 0.864
0.715 0.000 0.136
0.785 0.500 0.864
```

Output
M_tot (μB per formula unit): 0.00
ρ (g cm⁻³): 3.85

Run 3
## BeCuBr2 (PBE-GGA)

Data for an optimized crystal structure of BeCuBr2.

Structure (POSCAR):
```
BeCuBr2
1.0
3.308 0.000 0.000
0.000 3.308 0.000
0.000 0.000 6.723
Be Cu Br
1 1 2
Direct
0.000 0.000 0.000
0.000 0.000 0.500
0.500 0.500 0.240
0.500 0.500 0.760
```

Output
M_tot (μB per formula unit): 0.00
ρ (g cm⁻³): 5.24

Run 4
## BeCuBr2 (PBE-GGA)

Data for an optimized crystal structure of BeCuBr2.

Structure (POSCAR):
```
BeCuBr2
1.0
5.085 0.000 0.000
0.000 3.398 0.000
-0.190 0.000 5.273
Be Cu Br
1 1 2
Direct
0.000 0.000 0.000
0.500 0.000 0.500
0.214 0.500 0.782
0.786 0.500 0.218
```

Output
M_tot (μB per formula unit): 0.00
ρ (g cm⁻³): 4.24

It is run 2 that is the most stable of them.

Run 1
## BeCuBr4 (PBE-GGA)

Data for an optimized crystal structure of BeCuBr4.

Structure (POSCAR):
```
BeCuBr4
1.0
0.000 4.421 4.421
4.421 0.000 4.421
4.421 4.421 0.000
Be Cu Br
1 1 4
Direct
0.000 0.000 0.000
0.250 0.250 0.250
0.125 0.625 0.625
0.625 0.125 0.625
0.625 0.625 0.125
0.625 0.625 0.625
```

Output
M_tot (μB per formula unit): 1.32
ρ (g cm⁻³): 3.77

Run 2
## BeCuBr4 (PBE-GGA)

Data for an optimized crystal structure of BeCuBr4.

Structure (POSCAR):
```
BeCuBr4
1.0
6.857 0.000 0.000
0.000 6.857 0.000
0.000 0.000 9.233
Be Cu Br
2 2 8
Direct
0.000 0.500 0.000
0.500 0.000 0.500
0.000 0.000 0.000
0.000 0.000 0.500
0.233 0.264 0.000
0.233 0.736 0.000
0.264 0.233 0.500
0.264 0.767 0.500
0.736 0.233 0.500
0.736 0.767 0.500
0.767 0.264 0.000
0.767 0.736 0.000
```

Output
M_tot (μB per formula unit): 0.00
ρ (g cm⁻³): 3.00

It is run 2 that is the most stable of them.